DFT (PBE) results for crystalline KV at its relaxed geometry.

**Energy**: -3.802 eV per atom
**Polymorph energy (0 for the lowest one)**: 0.564 eV/atom
**ΔE_f**: 30.1 kcal/mol of atoms

Unit cell a=13.0637 b=13.0637 c=2.9519 alpha=90.00 beta=90.00 gamma=120.00
Fractional coordinates of all 12 atoms:
K1 0.1739 0.3478 0.2500
K2 0.1739 0.8261 0.2500
K3 0.3478 0.1739 0.7500
K4 0.6522 0.8261 0.2500
K5 0.8261 0.1739 0.7500
K6 0.8261 0.6522 0.7500
V1 0.0725 0.5363 0.2500
V2 0.4637 0.5363 0.2500
V3 0.4637 0.9275 0.2500
V4 0.5363 0.0725 0.7500
V5 0.5363 0.4637 0.7500
V6 0.9275 0.4637 0.7500